# 1
The following is a PBE-GGA calculation of a relaxed Ca2AcAu3 crystal, from Alexandria via LeMat-Bulk.

The structure in POSCAR format:
```
Ca2AcAu3
1.0
-2.176 4.324 2.205
-0.570 -4.747 2.330
5.394 1.001 3.359
Au Ca Ac
3 2 1
Direct
0.333 0.667 0.165
0.000 0.000 0.500
0.667 0.333 0.835
0.333 0.667 0.653
0.667 0.333 0.347
0.000 0.000 0.000
```

Computed properties:
DFT total energy, eV/atom: -3.780
Formation enthalpy at 0 K, eV/atom: -0.790
Spin magnetization, μB/cell: 0.0
Density of states at the Fermi level, states/eV per cell: 3.55
Relative energy among the computed polymorphs, eV/atom: 0.0000
Space group: No. 164

# 2
The following is a PBE-GGA calculation of a relaxed ReB2Mo2 crystal, from Alexandria via LeMat-Bulk.

The structure in POSCAR format:
```
ReB2Mo2
1.0
-2.953 -4.911 1.705
1.907 -2.848 -4.899
5.171 -2.005 3.179
Mo B Re
8 8 4
Direct
0.661 0.820 0.500
0.339 0.180 0.500
0.680 0.839 0.000
0.320 0.161 0.000
0.820 0.339 0.500
0.839 0.320 0.000
0.161 0.680 0.000
0.180 0.661 0.500
0.116 0.384 0.250
0.616 0.116 0.250
0.884 0.616 0.750
0.384 0.884 0.750
0.384 0.884 0.250
0.616 0.116 0.750
0.884 0.616 0.250
0.116 0.384 0.750
0.000 0.000 0.277
0.000 0.000 0.723
0.500 0.500 0.223
0.500 0.500 0.777
```

Computed properties:
DFT total energy, eV/atom: -9.821
Formation enthalpy at 0 K, eV/atom: -0.328
Spin magnetization, μB/cell: 0.0
Density of states at the Fermi level, states/eV per cell: 10.52
Relative energy among the computed polymorphs, eV/atom: 0.0000
Space group: No. 128